1.
# AlGaC3 (PBE, relaxed)
data_AlGaC3
_chemical_formula_sum 'Al1 Ga1 C3'
_cell_length_a 3.953
_cell_length_b 3.953
_cell_length_c 3.953
_cell_angle_alpha 90.00
_cell_angle_beta 90.00
_cell_angle_gamma 90.00
_space_group_name_H-M_alt 'P m -3 m'
_space_group_IT_number 221
_space_group_name_Hall '-P 4 2 3'
loop_
_atom_site_label
_atom_site_type_symbol
_atom_site_fract_x
_atom_site_fract_y
_atom_site_fract_z
Al1 Al 0.000 0.000 0.000
Ga1 Ga 0.500 0.500 0.500
C1 C 0.000 0.000 0.500
# * N(E_F): 1.98 states/eV/f.u.
# * total DFT energy (no corrections): -23.3 eV per formula unit
# * excess energy over the best structure of this formula in the dataset: 0.0 meV per atom


2.
# Fe4Tc (PBE, relaxed)
data_Fe4Tc
_chemical_formula_sum 'Fe8 Tc2'
_cell_length_a 3.366
_cell_length_b 3.366
_cell_length_c 10.910
_cell_angle_alpha 90.00
_cell_angle_beta 90.00
_cell_angle_gamma 90.00
_space_group_name_H-M_alt 'I 4/m m m'
_space_group_IT_number 139
_space_group_name_Hall '-I 4 2'
loop_
_atom_site_label
_atom_site_type_symbol
_atom_site_fract_x
_atom_site_fract_y
_atom_site_fract_z
Fe1 Fe 0.000 0.000 0.097
Fe2 Fe 0.000 0.500 0.250
Tc1 Tc 0.000 0.000 0.500
# * N(E_F): 5.24 states/eV/f.u.
# * total DFT energy (no corrections): -41.9 eV per formula unit
# * excess energy over the best structure of this formula in the dataset: 342.3 meV per atom


3.
# PmZnCuAg (PBE, relaxed)
data_PmZnCuAg
_chemical_formula_sum 'Pm4 Zn4 Cu4 Ag4'
_cell_length_a 6.765
_cell_length_b 6.765
_cell_length_c 6.765
_cell_angle_alpha 90.00
_cell_angle_beta 90.00
_cell_angle_gamma 90.00
_space_group_name_H-M_alt 'F -4 3 m'
_space_group_IT_number 216
_space_group_name_Hall 'F -4 2 3'
loop_
_atom_site_label
_atom_site_type_symbol
_atom_site_fract_x
_atom_site_fract_y
_atom_site_fract_z
Pm1 Pm 0.000 0.000 0.000
Zn1 Zn 0.250 0.250 0.250
Cu1 Cu 0.250 0.250 0.750
Ag1 Ag 0.000 0.000 0.500
# * N(E_F): 3.57 states/eV/f.u.
# * total DFT energy (no corrections): -13.7 eV per formula unit